1.
# Ge2P3H2

A relaxed structure of Ge2P3H2 (PBE, Alexandria).

## Properties
- electronic total energy (eV per atom) = -4.32
- Fermi-level density of states (states/eV/atom) = 0.307

Unit cell a=5.380 b=4.015 c=7.150 alpha=55.87 beta=112.10 gamma=90.00
Atoms (fractional coordinates):
Ge 0.860 0.789 0.720
Ge 0.140 0.211 0.280
P 0.000 0.000 0.000
P 0.618 0.282 0.236
P 0.382 0.718 0.764
H 0.619 0.636 0.238
H 0.381 0.364 0.762

2.
# TlNiBr2

A relaxed structure of TlNiBr2 (PBE, Alexandria).

## Properties
- offset from the most stable computed form (meV/atom) = 150.6
- Fermi-level density of states (states/eV/atom) = 0.734

Unit cell a=3.671 b=3.671 c=8.321 alpha=90.00 beta=90.00 gamma=90.00
Last column: magnetic moment on the atom in μB.
Atoms (fractional coordinates):
Br 0.000 0.000 0.731  0.02
Br 0.500 0.500 0.377  0.09
Ni 0.000 0.000 0.438  0.91
Tl 0.500 0.500 0.953  -0.01

3.
# LiAcCd2Hg5

A relaxed structure of LiAcCd2Hg5 (PBE, Alexandria).

## Properties
- ΔH_f (0 K) (meV/atom) = -137
- Fermi-level density of states (states/eV/atom) = 0.496

Unit cell a=4.940 b=6.698 c=8.457 alpha=113.33 beta=106.98 gamma=90.00
Atoms (fractional coordinates):
Li 0.500 0.000 0.000
Ac 0.000 0.500 0.000
Cd 0.193 0.193 0.385
Cd 0.807 0.807 0.615
Hg 0.639 0.874 0.278
Hg 0.361 0.126 0.722
Hg 0.361 0.596 0.722
Hg 0.639 0.404 0.278
Hg 0.000 0.000 0.000

4.
# TmMgCuOs

A relaxed structure of TmMgCuOs (PBE, Alexandria).

## Properties
- ΔH_f (0 K) (meV/atom) = -51
- Fermi-level density of states (states/eV/atom) = 0.148

Unit cell a=4.635 b=4.635 c=4.635 alpha=60.00 beta=60.00 gamma=60.00
Atoms (fractional coordinates):
Mg 0.500 0.500 0.500
Tm 0.000 0.000 0.000
Os 0.750 0.750 0.750
Cu 0.250 0.250 0.250

5.
# Pr5YCd3

A relaxed structure of Pr5YCd3 (PBE, Alexandria).

## Properties
- ΔH_f (0 K) (meV/atom) = -179
- Fermi-level density of states (states/eV/atom) = 0.969

Unit cell a=7.091 b=9.524 c=9.524 alpha=120.00 beta=90.00 gamma=90.00
Atoms (fractional coordinates):
Pr 0.000 0.667 0.333
Pr 0.500 0.333 0.667
Pr 0.000 0.333 0.667
Pr 0.500 0.667 0.333
Pr 0.750 0.664 0.664
Pr 0.750 0.000 0.336
Pr 0.750 0.336 0.000
Pr 0.250 0.336 0.336
Pr 0.250 0.000 0.664
Pr 0.250 0.664 0.000
Y 0.000 0.000 0.000
Y 0.500 0.000 0.000
Cd 0.750 0.325 0.325
Cd 0.750 0.000 0.675
Cd 0.750 0.675 0.000
Cd 0.250 0.675 0.675
Cd 0.250 0.000 0.325
Cd 0.250 0.325 0.000

6.
# LiBi2Pb2

A relaxed structure of LiBi2Pb2 (PBE, Alexandria).

## Properties
- offset from the most stable computed form (meV/atom) = 12.1
- ΔH_f (0 K) (meV/atom) = -81
- Fermi-level density of states (states/eV/atom) = 0.349

Unit cell a=4.751 b=4.314 c=8.959 alpha=103.50 beta=103.34 gamma=62.63
Atoms (fractional coordinates):
Li 0.000 0.000 0.000
Bi 0.568 0.637 0.842
Bi 0.432 0.363 0.158
Pb 0.888 0.875 0.638
Pb 0.112 0.125 0.362